Entry from Alexandria: a PBEsol-optimized structure of YGe2Pd (meta-GGA SCAN).

a = 4.2713 Å, b = 8.6821 Å, c = 16.2242 Å
α = 90.00°, β = 90.00°, γ = 90.00°
Closest atoms and distances in Å follow each position.
Space group Immm (No. 71)
Asymmetric unit:
1 Y 0.0000 0.0000 0.2017 (multiplicity 4)  8 Ge 2.97-3.04, 6 Pd 3.17-3.27
2 Y 0.0000 0.2385 0.0000 (multiplicity 4)  10 Ge 3.21-3.36, 4 Pd 3.21
3 Ge 0.0000 0.0000 0.4248 (multiplicity 4)  1 Ge 2.44, 2 Pd 2.47
4 Ge 0.0000 0.3502 0.1981 (multiplicity 8)  3 Pd 2.45-2.64, 1 Ge 2.60
5 Ge 0.0000 0.5000 0.4257 (multiplicity 4)  1 Ge 2.41, 2 Pd 2.47
6 Pd 0.0000 0.2503 0.3521 (multiplicity 8)  5 Ge 2.45-2.64

Values from the calculation:
DFT total energy: -25.60 eV/atom
Energy of formation from the pure elements: -0.9028 eV/atom

***

Entry from Alexandria: a PBEsol-optimized structure of ZrGePd (meta-GGA SCAN).

a = 6.6352 Å, b = 3.9335 Å, c = 7.6799 Å
α = 90.00°, β = 90.00°, γ = 90.00°
Closest atoms and distances in Å follow each position.
Space group Pnma (No. 62)
Asymmetric unit:
1 Zr 0.0301 0.2500 0.1840 (multiplicity 4)  5 Ge 2.76-2.85, 5 Pd 2.99-3.08
2 Ge 0.2469 0.7500 0.3766 (multiplicity 4)  4 Pd 2.52-2.62, 3 Zr 2.76-2.79
3 Pd 0.1415 0.2500 0.5607 (multiplicity 4)  4 Ge 2.52-2.62

Values from the calculation:
DFT total energy: -28.56 eV/atom
Energy of formation from the pure elements: -1.0392 eV/atom

***

Entry from Alexandria: a PBEsol-optimized structure of PmGe3 (meta-GGA SCAN).

a = 6.1350 Å, b = 6.1350 Å, c = 4.9703 Å
α = 90.00°, β = 90.00°, γ = 120.00°
Closest atoms and distances in Å follow each position.
Space group P6_3/mmc (No. 194)
Asymmetric unit:
1 Pm 0.3333 0.6667 0.2500 (multiplicity 2)  12 Ge 3.07-3.18
2 Ge 0.1469 0.2939 0.7500 (multiplicity 6)  6 Ge 2.70-2.93

Values from the calculation:
DFT total energy: -25.75 eV/atom
Energy of formation from the pure elements: -0.4411 eV/atom

***

Entry from Alexandria: a PBEsol-optimized structure of Pm2ZnGe (meta-GGA SCAN).

a = 7.1607 Å, b = 7.1607 Å, c = 7.1607 Å
α = 90.00°, β = 90.00°, γ = 90.00°
Closest atoms and distances in Å follow each position.
Space group Fm-3m (No. 225)
Asymmetric unit:
1 Pm 0.2500 0.2500 0.2500 (multiplicity 8)  4 Ge 3.10, 4 Zn 3.10
2 Zn 0.0000 0.0000 0.0000 (multiplicity 4)  8 Pm 3.10
3 Ge 0.0000 0.0000 0.5000 (multiplicity 4)  8 Pm 3.10

Values from the calculation:
DFT total energy: -30.73 eV/atom
Energy of formation from the pure elements: -0.5913 eV/atom

***

Entry from Alexandria: a PBEsol-optimized structure of PrGe (meta-GGA SCAN).

a = 4.4668 Å, b = 11.0478 Å, c = 4.0291 Å
α = 90.00°, β = 90.00°, γ = 90.00°
Closest atoms and distances in Å follow each position.
Space group Cmcm (No. 63)
Asymmetric unit:
1 Pr 0.0000 0.1390 0.2500 (multiplicity 4)  7 Ge 3.08-3.29
2 Ge 0.0000 0.4208 0.2500 (multiplicity 4)  2 Ge 2.67

Values from the calculation:
DFT total energy: -32.13 eV/atom
Energy of formation from the pure elements: -0.9272 eV/atom

***

Entry from Alexandria: a PBEsol-optimized structure of PrGe (meta-GGA SCAN).

a = 8.2699 Å, b = 4.0271 Å, c = 5.9585 Å
α = 90.00°, β = 90.00°, γ = 90.00°
Closest atoms and distances in Å follow each position.
Space group Pnma (No. 62)
Asymmetric unit:
1 Pr 0.1807 0.2500 0.1166 (multiplicity 4)  7 Ge 3.08-3.31
2 Ge 0.0378 0.2500 0.6346 (multiplicity 4)  2 Ge 2.65

Values from the calculation:
DFT total energy: -32.13 eV/atom
Energy of formation from the pure elements: -0.9275 eV/atom

***

Entry from Alexandria: a PBEsol-optimized structure of Pr5Ge4 (meta-GGA SCAN).

a = 7.8787 Å, b = 15.0853 Å, c = 7.9929 Å
α = 90.00°, β = 90.00°, γ = 90.00°
Closest atoms and distances in Å follow each position.
Space group Pnma (No. 62)
Asymmetric unit:
1 Pr 0.0191 0.1015 0.1811 (multiplicity 8)  6 Ge 3.05-3.35
2 Pr 0.1224 0.6152 0.3388 (multiplicity 8)  6 Ge 2.94-3.20
3 Pr 0.2093 0.2500 0.5022 (multiplicity 4)  6 Ge 3.07-3.28
4 Ge 0.0846 0.2500 0.8934 (multiplicity 4)  1 Ge 2.65
5 Ge 0.1820 0.7500 0.6322 (multiplicity 4)  1 Ge 2.65
6 Ge 0.2189 0.0439 0.5342 (multiplicity 8)  6 Pr 2.94-3.23

Values from the calculation:
DFT total energy: -33.44 eV/atom
Energy of formation from the pure elements: -0.8885 eV/atom

***

Entry from Alexandria: a PBEsol-optimized structure of PrGe2 (meta-GGA SCAN).

a = 4.1578 Å, b = 4.1578 Å, c = 15.7063 Å
α = 90.00°, β = 90.00°, γ = 90.00°
Closest atoms and distances in Å follow each position.
Space group I4_1/amd (No. 141, origin choice 2)
Asymmetric unit:
1 Pr 0.0000 0.2500 0.3750 (multiplicity 4)  12 Ge 3.20-3.37
2 Ge 0.0000 0.2500 0.7942 (multiplicity 8)  3 Ge 2.50-2.54

Values from the calculation:
DFT total energy: -27.89 eV/atom
Energy of formation from the pure elements: -0.7224 eV/atom

***

Entry from Alexandria: a PBEsol-optimized structure of Pr3Ge5 (meta-GGA SCAN).

a = 5.9121 Å, b = 17.7214 Å, c = 14.0421 Å
α = 90.00°, β = 90.00°, γ = 90.00°
Closest atoms and distances in Å follow each position.
Space group Fdd2 (No. 43)
Asymmetric unit:
1 Pr 0.0000 0.0000 0.0000 (multiplicity 8)  10 Ge 3.05-3.40
2 Pr 0.0035 0.1690 0.5062 (multiplicity 16)  9 Ge 3.03-3.37
3 Ge 0.0000 0.0000 0.4467 (multiplicity 8)  2 Ge 2.58
4 Ge 0.0134 0.3367 0.5875 (multiplicity 16)  3 Ge 2.53-2.60
5 Ge 0.0358 0.1776 0.9092 (multiplicity 16)  2 Ge 2.53-2.60

Values from the calculation:
DFT total energy: -29.00 eV/atom
Energy of formation from the pure elements: -0.8271 eV/atom

***

Entry from Alexandria: a PBEsol-optimized structure of Pr4Ge7 (meta-GGA SCAN).

a = 5.9706 Å, b = 13.9474 Å, c = 11.9398 Å
α = 90.00°, β = 90.00°, γ = 90.00°
Closest atoms and distances in Å follow each position.
Space group C222_1 (No. 20)
Asymmetric unit:
1 Pr 0.0000 0.0038 0.2500 (multiplicity 4)  10 Ge 3.07-3.32
2 Pr 0.0154 0.5000 0.0000 (multiplicity 4)  10 Ge 3.05-3.25
3 Pr 0.2344 0.2550 0.6195 (multiplicity 8)  9 Ge 3.06-3.32
4 Ge 0.0000 0.4393 0.7500 (multiplicity 4)  2 Ge 2.59
5 Ge 0.0185 0.0880 0.9900 (multiplicity 8)  3 Ge 2.47-2.71
6 Ge 0.1746 0.3512 0.3387 (multiplicity 8)  2 Ge 2.57-2.71
7 Ge 0.2486 0.3280 0.8713 (multiplicity 8)  3 Ge 2.57-2.59

Values from the calculation:
DFT total energy: -28.71 eV/atom
Energy of formation from the pure elements: -0.8124 eV/atom

***

Entry from Alexandria: a PBEsol-optimized structure of Pr4Ge3 (meta-GGA SCAN).

a = 9.1108 Å, b = 9.1108 Å, c = 9.1108 Å
α = 90.00°, β = 90.00°, γ = 90.00°
Closest atoms and distances in Å follow each position.
Space group I-43d (No. 220)
Asymmetric unit:
1 Pr 0.0666 0.0666 0.0666 (multiplicity 16)  6 Ge 2.99-3.33
2 Ge 0.0000 0.2500 0.3750 (multiplicity 12)  8 Pr 2.99-3.33

Values from the calculation:
DFT total energy: -33.84 eV/atom
Energy of formation from the pure elements: -0.9010 eV/atom

***

Entry from Alexandria: a PBEsol-optimized structure of PrGe12Pt4 (meta-GGA SCAN).

a = 8.6052 Å, b = 8.6052 Å, c = 8.6052 Å
α = 90.00°, β = 90.00°, γ = 90.00°
Closest atoms and distances in Å follow each position.
Space group Im-3 (No. 204)
Asymmetric unit:
1 Pr 0.0000 0.0000 0.0000 (multiplicity 2)  12 Ge 3.31
2 Ge 0.0000 0.3542 0.1509 (multiplicity 24)  2 Pt 2.48, 2 Ge 2.51-2.60
3 Pt 0.2500 0.2500 0.2500 (multiplicity 8)  6 Ge 2.48

Values from the calculation:
DFT total energy: -33.05 eV/atom
Energy of formation from the pure elements: -0.5160 eV/atom